Entry 1:
A relaxed Tb6PrSm3Y2 crystal. Source: Alexandria via LeMat-Bulk, functional GGA-PBE.

a = 6.225 Å, b = 10.774 Å, c = 11.914 Å
α = 90.00°, β = 99.97°, γ = 90.00°
Space group C2/m (No. 12)
Asymmetric unit:
Tb  0.249  0.167  0.250 x8
Tb  0.250  0.000  0.750 x4
Pr  0.000  0.500  0.500 x2
Sm  0.000  0.000  0.000 x2
Sm  0.000  0.333  0.000 x4
Y  0.000  0.167  0.500 x4

## Properties
Fermi-level density of states in states/eV per atom: 1.2923
Theoretical density in g/cm3: 7.3
Energy of formation from the pure elements in eV/atom: 0.01
E_tot in Ry/atom: -0.3643
Magnetic moment in μB per cell: 0.0

---

Entry 2:
A relaxed Tb3PrSmY crystal. Source: Alexandria via LeMat-Bulk, functional GGA-PBE.

a = 19.924 Å, b = 5.715 Å, c = 7.046 Å
α = 90.00°, β = 90.14°, γ = 90.00°
Space group C2/m (No. 12)
Asymmetric unit:
Tb  0.021  0.000  0.240 x4
Tb  0.164  0.500  0.232 x4
Tb  0.220  0.500  0.742 x4
Pr  0.145  0.000  0.524 x4
Sm  0.054  0.500  0.762 x4
Y  0.150  0.000  0.958 x4

## Properties
Fermi-level density of states in states/eV per atom: 1.5754
Theoretical density in g/cm3: 7.1
Energy of formation from the pure elements in eV/atom: 0.19
E_tot in Ry/atom: -0.3515
Magnetic moment in μB per cell: 0.0

---

Entry 3:
A relaxed Tb2PrSmY2 crystal. Source: Alexandria via LeMat-Bulk, functional GGA-PBE.

a = 6.667 Å, b = 17.921 Å, c = 3.410 Å
α = 90.00°, β = 90.00°, γ = 90.00°
Space group Pnnm (No. 58)
Asymmetric unit:
Tb  0.228  0.182  0.000 x4
Pr  0.000  0.000  0.000 x2
Sm  0.000  0.500  0.000 x2
Y  0.225  0.349  0.500 x4

## Properties
Fermi-level density of states in states/eV per atom: 1.7610
Theoretical density in g/cm3: 6.4
Energy of formation from the pure elements in eV/atom: 0.28
E_tot in Ry/atom: -0.3673
Magnetic moment in μB per cell: 0.0

---

Entry 4:
A relaxed Tb2Pr6Sm3Y crystal. Source: Alexandria via LeMat-Bulk, functional GGA-PBE.

a = 6.354 Å, b = 11.009 Å, c = 12.032 Å
α = 90.00°, β = 100.12°, γ = 90.00°
Space group C2/m (No. 12)
Asymmetric unit:
Tb  0.000  0.167  0.000 x4
Pr  0.249  0.000  0.248 x4
Pr  0.250  0.167  0.752 x8
Sm  0.000  0.000  0.500 x2
Sm  0.000  0.333  0.500 x4
Y  0.000  0.500  0.000 x2

## Properties
Fermi-level density of states in states/eV per atom: 1.2667
Theoretical density in g/cm3: 6.8
Energy of formation from the pure elements in eV/atom: 0.01
E_tot in Ry/atom: -0.3579
Magnetic moment in μB per cell: 0.0

---

Entry 5:
A relaxed TbPrSmY crystal. Source: Alexandria via LeMat-Bulk, functional GGA-PBE.

a = 8.146 Å, b = 8.146 Å, c = 8.146 Å
α = 90.00°, β = 90.00°, γ = 90.00°
Space group F-43m (No. 216)
Asymmetric unit:
Tb  0.000  0.000  0.000 x4
Pr  0.250  0.250  0.750 x4
Sm  0.250  0.250  0.250 x4
Y  0.000  0.000  0.500 x4

## Properties
Fermi-level density of states in states/eV per atom: 2.0510
Theoretical density in g/cm3: 6.6
Energy of formation from the pure elements in eV/atom: 0.12
E_tot in Ry/atom: -0.3698
Magnetic moment in μB per cell: 0.0
Energy above the lowest structure with this stoichiometry in meV per atom: 100

---

Entry 6:
A relaxed TbPrSmY crystal. Source: Alexandria via LeMat-Bulk, functional GGA-PBE.

a = 5.130 Å, b = 5.130 Å, c = 10.201 Å
α = 90.00°, β = 90.00°, γ = 90.00°
Space group I-4m2 (No. 119)
Asymmetric unit:
Tb  0.000  0.000  0.000 x2
Pr  0.000  0.500  0.250 x2
Sm  0.000  0.000  0.500 x2
Y  0.000  0.500  0.750 x2

## Properties
Fermi-level density of states in states/eV per atom: 1.4352
Theoretical density in g/cm3: 6.7
Energy of formation from the pure elements in eV/atom: 0.02
E_tot in Ry/atom: -0.3771
Magnetic moment in μB per cell: 0.0
Energy above the lowest structure with this stoichiometry in meV per atom: 0

---

Q: energy of formation from the pure elements of number 4 (Tb2Pr6Sm3Y)?
A: 0.01 eV/atom